# Tm6SnHg2

Crystalline Tm6SnHg2 at its relaxed geometry (GGA-PBE, Alexandria via LeMat-Bulk).

The magnetic moment is 0.00 μB/f.u. As for the space group: No. 71. The crystal system is orthorhombic. The value obtained for the total energy is -3.82 eV/atom. The value obtained for the energy relative to the elements is -0.3304 eV/atom. The value obtained for the density of states at the Fermi level is 17.059 states/eV/cell.

Cell and atoms, written as CIF:
```
data_Tm6SnHg2
_symmetry_space_group_name_H-M 'P 1'
_symmetry_Int_Tables_number 1
_cell_length_a 8.7252
_cell_length_b 8.7252
_cell_length_c 8.7252
_cell_angle_alpha 115.14
_cell_angle_beta 112.75
_cell_angle_gamma 100.87
loop_
_symmetry_equiv_pos_as_xyz
'x,y,z'
loop_
_atom_site_label
_atom_site_type_symbol
_atom_site_fract_x
_atom_site_fract_y
_atom_site_fract_z
Tm1 Tm 0.0395 0.2356 0.8039
Tm2 Tm 0.1897 0.2881 0.4779
Tm3 Tm 0.1897 0.7119 0.9016
Tm4 Tm 0.3268 0.0289 0.7020
Tm5 Tm 0.3268 0.6248 0.2980
Tm6 Tm 0.4318 0.2356 0.1961
Tm7 Tm 0.5682 0.7644 0.8039
Tm8 Tm 0.6732 0.3752 0.7020
Tm9 Tm 0.6732 0.9711 0.2980
Tm10 Tm 0.8103 0.2881 0.0984
Tm11 Tm 0.8103 0.7119 0.5221
Tm12 Tm 0.9605 0.7644 0.1961
Sn1 Sn 0.0000 0.0000 0.0000
Sn2 Sn 0.5000 0.5000 0.0000
Hg1 Hg 0.1301 0.6301 0.5000
Hg2 Hg 0.3399 0.0000 0.3399
Hg3 Hg 0.6601 0.0000 0.6601
Hg4 Hg 0.8699 0.3699 0.5000
```